Below is an optimized crystal structure of Zn2HgRh, with properties calculated at the GGA-PBEsol level.

Calculated values
SG: Pm

Lattice parameters (Å, degrees): 2.866 4.109 5.322 90.00 104.93 90.00
Element x y z (fractional)
Zn1 0.934 0.500 0.247
Rh1 0.220 0.500 0.805
Hg1 0.544 0.000 0.476
Zn2 0.801 0.000 0.972


Below is an optimized crystal structure of Zn2HgRh, with properties calculated at the GGA-PBEsol level.

Calculated values
SG: Cmmm

Lattice parameters (Å, degrees): 3.061 4.497 4.497 103.77 90.00 90.00
Element x y z (fractional)
Zn1 0.000 0.500 0.000
Zn2 0.000 0.000 0.500
Hg1 0.500 0.000 0.000
Rh1 0.500 0.500 0.500


Below is an optimized crystal structure of Zn2HgRh, with properties calculated at the GGA-PBEsol level.

Calculated values
SG: Imm2

Lattice parameters (Å, degrees): 3.696 3.825 5.008 112.45 111.66 90.00
Element x y z (fractional)
Zn1 0.999 0.999 0.998
Rh1 0.253 0.753 0.506
Zn2 0.748 0.248 0.496
Hg1 0.500 0.500 0.000


Below is an optimized crystal structure of ZnHgRh, with properties calculated at the GGA-PBEsol level.

Calculated values
SG: P3m1

Lattice parameters (Å, degrees): 2.969 4.276 4.276 120.00 90.00 90.00
Element x y z (fractional)
Rh1 0.595 0.333 0.667
Hg1 0.049 0.000 0.000
Zn1 0.356 0.667 0.333


Below is an optimized crystal structure of Zn2HgRh, with properties calculated at the GGA-PBEsol level.

Calculated values
SG: P4/mmm

Lattice parameters (Å, degrees): 3.817 3.949 3.949 90.00 90.00 90.00
Element x y z (fractional)
Rh1 0.500 0.000 0.000
Hg1 0.500 0.500 0.500
Zn1 0.000 0.500 0.000
Zn2 0.000 0.000 0.500


Below is an optimized crystal structure of Zr2HgRh, with properties calculated at the GGA-PBEsol level.

Calculated values
SG: R-3m

Lattice parameters (Å, degrees): 3.400 3.400 8.391 78.31 78.31 60.00
Element x y z (fractional)
Hg1 0.500 0.500 0.500
Zr1 0.739 0.739 0.784
Zr2 0.261 0.261 0.216
Rh1 0.000 0.000 0.000


Below is an optimized crystal structure of Zr2HgRh, with properties calculated at the GGA-PBEsol level.

Calculated values
SG: P2/m

Lattice parameters (Å, degrees): 3.254 3.254 7.178 90.30 90.00 90.00
Element x y z (fractional)
Zr1 0.000 0.997 0.223
Zr2 0.000 0.003 0.777
Rh1 0.500 0.500 0.000
Hg1 0.500 0.500 0.500


Below is an optimized crystal structure of Zr2HgRh, with properties calculated at the GGA-PBEsol level.

Calculated values
SG: Imm2

Lattice parameters (Å, degrees): 3.377 4.627 5.679 114.04 107.30 90.00
Element x y z (fractional)
Rh1 0.742 0.242 0.484
Hg1 0.476 0.476 0.952
Zr1 0.254 0.754 0.508
Zr2 0.028 0.028 0.057


no.,energy relative to the elements (eV per atom),total magnetization (Bohr magnetons per cell)
1,-0.076,0.0
2,-0.123,0.0
3,-0.138,0.0
4,-0.017,0.0
5,-0.149,0.0
6,-0.300,0.0
7,-0.488,0.0
8,-0.352,0.0